Model i:
A plane-wave DFT calculation with PBE-GGA was carried out for a relaxed structure of Ta3Ir2Ru.

```
data_Ta3Ir2Ru
_chemical_formula_sum 'Ta3 Ir2 Ru1'
_space_group_name_H-M_alt 'P 1'
_space_group_IT_number 1
_space_group_name_Hall 'P 1'
_cell_length_a 2.924
_cell_length_b 2.924
_cell_length_c 11.309
_cell_angle_alpha 90.00
_cell_angle_beta 90.00
_cell_angle_gamma 90.00
loop_
_atom_site_label
_atom_site_fract_x
_atom_site_fract_y
_atom_site_fract_z
_atom_site_occupancy
Ta1 0.000 0.000 0.000 1
Ta2 0.000 0.000 0.661 1
Ta3 0.000 0.000 0.339 1
Ir1 0.500 0.500 0.829 1
Ir2 0.500 0.500 0.171 1
Ru1 0.500 0.500 0.500 1
```

Model ii:
A plane-wave DFT calculation with PBE-GGA was carried out for a relaxed structure of Ta3Ir2Ru.

```
data_Ta3Ir2Ru
_chemical_formula_sum 'Ta6 Ir4 Ru2'
_space_group_name_H-M_alt 'P 1'
_space_group_IT_number 1
_space_group_name_Hall 'P 1'
_cell_length_a 3.771
_cell_length_b 4.137
_cell_length_c 12.401
_cell_angle_alpha 90.00
_cell_angle_beta 90.00
_cell_angle_gamma 90.00
loop_
_atom_site_label
_atom_site_fract_x
_atom_site_fract_y
_atom_site_fract_z
_atom_site_occupancy
Ta1 0.500 0.500 0.666 1
Ta2 0.500 0.000 0.500 1
Ta3 0.500 0.500 0.334 1
Ta4 0.500 0.000 0.166 1
Ta5 0.500 0.500 0.000 1
Ta6 0.500 0.000 0.834 1
Ir1 0.000 0.000 0.668 1
Ir2 0.000 0.000 0.332 1
Ir3 0.000 0.500 0.168 1
Ir4 0.000 0.500 0.832 1
Ru1 0.000 0.500 0.500 1
Ru2 0.000 0.000 0.000 1
```

Pick model ii: it beats the second-best structure by 15 meV per atom.